No. 1
{"formula": "TiGa2I8", "functional": "PBE", "state": "relaxed", "vol_a3_per_atom": 51.07, "de_polymorph_mev_per_atom": 36, "e_form_raw_mev_per_atom": -500, "lattice": [[5.683, -5.158, 0.000], [5.683, 5.158, 0.000], [-0.833, 0.000, 9.582]], "species": ["Ti", "Ga", "Ga", "I", "I", "I", "I", "I", "I", "I", "I"], "fractional_positions": [[0.000, 0.000, 0.000], [0.159, 0.159, 0.266], [0.841, 0.841, 0.734], [0.184, 0.793, 0.778], [0.207, 0.816, 0.222], [0.261, 0.261, 0.031], [0.294, 0.294, 0.486], [0.706, 0.706, 0.514], [0.739, 0.739, 0.969], [0.793, 0.184, 0.778], [0.816, 0.207, 0.222]]}

---

No. 2
{"formula": "Ac2SmCdO6", "functional": "PBE", "state": "relaxed", "vol_a3_per_atom": 16.70, "e_form_raw_mev_per_atom": -2633, "lattice": [[6.016, 0.000, 0.000], [0.000, 6.215, 0.000], [-5.728, 0.000, 8.933]], "species": ["Ac", "Ac", "Ac", "Ac", "Sm", "Sm", "Cd", "Cd", "O", "O", "O", "O", "O", "O", "O", "O", "O", "O", "O", "O"], "fractional_positions": [[0.223, 0.054, 0.245], [0.223, 0.446, 0.745], [0.777, 0.554, 0.255], [0.777, 0.946, 0.755], [0.500, 0.000, 0.000], [0.500, 0.500, 0.500], [0.000, 0.000, 0.500], [0.000, 0.500, 0.000], [0.133, 0.203, 0.935], [0.133, 0.297, 0.435], [0.217, 0.706, 0.923], [0.217, 0.794, 0.423], [0.385, 0.062, 0.755], [0.385, 0.438, 0.255], [0.615, 0.562, 0.745], [0.615, 0.938, 0.245], [0.783, 0.206, 0.577], [0.783, 0.294, 0.077], [0.867, 0.703, 0.565], [0.867, 0.797, 0.065]]}

---

No. 3
{"formula": "TbZrRh2", "functional": "PBE", "state": "relaxed", "vol_a3_per_atom": 19.25, "formation_enthalpy_0k_mev_per_atom": -817, "lattice": [[3.343, 0.000, 0.000], [0.000, 3.343, 0.000], [0.000, 0.000, 6.888]], "species": ["Tb", "Zr", "Rh", "Rh"], "fractional_positions": [[0.000, 0.000, 0.000], [0.000, 0.000, 0.500], [0.500, 0.500, 0.274], [0.500, 0.500, 0.726]]}

---

No. 4
{"formula": "CuReSe2N", "functional": "PBE", "state": "relaxed", "vol_a3_per_atom": 16.41, "de_polymorph_mev_per_atom": 910, "e_form_raw_mev_per_atom": 1432, "lattice": [[4.891, 0.000, 0.000], [0.000, 4.891, 0.000], [0.000, 0.000, 3.429]], "species": ["Cu", "Re", "Se", "Se", "N"], "fractional_positions": [[0.000, 0.000, 0.000], [0.500, 0.500, 0.500], [0.000, 0.500, 0.000], [0.500, 0.000, 0.000], [0.000, 0.000, 0.500]]}

---

No. 5
{"formula": "Hf3ZrCd", "functional": "PBE", "state": "relaxed", "vol_a3_per_atom": 27.52, "de_polymorph_mev_per_atom": 1205, "formation_enthalpy_0k_mev_per_atom": 1241, "lattice": [[5.163, 0.000, 0.000], [0.000, 5.163, 0.000], [0.000, 0.000, 5.163]], "species": ["Hf", "Hf", "Hf", "Zr", "Cd"], "fractional_positions": [[0.000, 0.000, 0.500], [0.000, 0.500, 0.000], [0.500, 0.000, 0.000], [0.500, 0.500, 0.500], [0.000, 0.000, 0.000]]}

---

No. 6
{"formula": "YMg2Pd", "functional": "PBE", "state": "relaxed", "vol_a3_per_atom": 23.04, "formation_enthalpy_0k_mev_per_atom": -68, "lattice": [[1.601, 0.924, 10.378], [-1.601, 0.924, 10.378], [0.000, -1.849, 10.378]], "species": ["Y", "Mg", "Mg", "Pd"], "fractional_positions": [[0.000, 0.000, 0.000], [0.103, 0.103, 0.103], [0.897, 0.897, 0.897], [0.500, 0.500, 0.500]]}

---

No. 7
{"formula": "LiB3Se", "functional": "PBE", "state": "relaxed", "vol_a3_per_atom": 14.40, "de_polymorph_mev_per_atom": 0, "e_form_raw_mev_per_atom": 1862, "lattice": [[4.160, 0.000, 0.000], [0.000, 4.160, 0.000], [0.000, 0.000, 4.160]], "species": ["Li", "B", "B", "B", "Se"], "fractional_positions": [[0.000, 0.000, 0.000], [0.000, 0.500, 0.500], [0.500, 0.000, 0.500], [0.500, 0.500, 0.000], [0.500, 0.500, 0.500]]}

---

No. 8
{"formula": "GaHg2Pd8", "functional": "PBE", "state": "relaxed", "vol_a3_per_atom": 16.86, "formation_enthalpy_0k_mev_per_atom": -202, "lattice": [[-2.299, 2.996, 6.732], [2.299, -2.996, 6.732], [2.299, 2.996, -6.732]], "species": ["Ga", "Hg", "Hg", "Pd", "Pd", "Pd", "Pd", "Pd", "Pd", "Pd", "Pd"], "fractional_positions": [[0.000, 0.000, 0.000], [0.316, 0.316, 0.000], [0.684, 0.684, 0.000], [0.121, 0.860, 0.261], [0.174, 0.674, 0.500], [0.251, 0.500, 0.751], [0.400, 0.140, 0.261], [0.600, 0.860, 0.739], [0.749, 0.500, 0.249], [0.826, 0.326, 0.500], [0.879, 0.140, 0.739]]}

---

Number 1: total magnetization 2.00 μB per formula unit. Number 2: total magnetization 0.95 μB per formula unit. Number 3: total magnetization 0.00 μB per formula unit. Number 4: total magnetization 2.78 μB per formula unit. Number 5: total magnetization 3.11 μB per formula unit. Number 6: total magnetization 0.00 μB per formula unit. Number 7: total magnetization 0.00 μB per formula unit. Number 8: total magnetization 0.00 μB per formula unit.